A plane-wave DFT calculation with GGA+U was carried out for a relaxed structure of V5O12.

Results
Offset from the most stable computed form in meV per atom: 36

Geometry as POSCAR:
```
V5O12
1.0
5.092 -4.433 0.000
5.092 4.433 0.000
-2.088 0.000 5.622
V O
5 12
direct
0.000 0.000 0.000 V
0.134 0.466 0.017 V
0.295 0.272 0.492 V
0.534 0.866 0.983 V
0.728 0.705 0.508 V
0.022 0.712 0.042 O
0.103 0.100 0.325 O
0.277 0.406 0.793 O
0.288 0.978 0.958 O
0.294 0.442 0.300 O
0.512 0.135 0.516 O
0.558 0.706 0.700 O
0.594 0.723 0.207 O
0.711 0.041 0.049 O
0.865 0.488 0.484 O
0.900 0.897 0.675 O
0.959 0.289 0.951 O
```

A plane-wave DFT calculation with GGA+U was carried out for a relaxed structure of CsY2CoO.

Geometry as POSCAR:
```
CsY2CoO
1.0
5.612 0.000 0.000
0.000 5.612 0.000
0.000 0.000 4.380
Cs Y Co O
1 2 1 1
direct
0.000 0.000 0.000 Cs
0.000 0.500 0.000 Y
0.500 0.000 0.000 Y
0.000 0.000 0.500 Co
0.500 0.500 0.500 O
```

DFT total energy
In order: -127.2 -14.5
Unit: eV/cell
Total moment
In order: 0.059 0.000
Unit: μB per atom